Record 1
Density functional theory data (PBE-GGA) for an optimized crystal structure of RbLiAg2Cl4.

Structure (POSCAR):
```
RbLiAg2Cl4
1.0
-3.420 3.768 4.250
3.420 -3.768 4.250
3.420 3.768 -4.250
Rb Li Ag Cl
1 1 2 4
direct
0.000 0.000 0.000
0.500 0.500 0.000
0.324 0.824 0.500
0.676 0.176 0.500
0.157 0.132 0.612
0.480 0.868 0.024
0.520 0.545 0.388
0.843 0.455 0.976
```

---

Record 2
Density functional theory data (PBE-GGA) for an optimized crystal structure of Rb2LiAgCl5.

Structure (POSCAR):
```
Rb2LiAgCl5
1.0
2.132 -9.985 0.000
2.132 9.985 0.000
0.000 0.000 12.460
Rb Li Ag Cl
4 2 2 10
direct
0.109 0.891 0.500
0.121 0.879 0.869
0.879 0.121 0.369
0.891 0.109 0.000
0.226 0.774 0.169
0.774 0.226 0.669
0.408 0.592 0.669
0.592 0.408 0.169
0.034 0.966 0.246
0.300 0.700 0.548
0.322 0.678 0.813
0.340 0.660 0.184
0.478 0.522 0.507
0.522 0.478 0.007
0.660 0.340 0.684
0.678 0.322 0.313
0.700 0.300 0.048
0.966 0.034 0.746
```

---

Record 3
Density functional theory data (PBE-GGA) for an optimized crystal structure of RbLi4Ag3Cl12.

Structure (POSCAR):
```
RbLi4Ag3Cl12
1.0
-4.831 4.831 4.831
4.831 -4.831 4.831
4.831 4.831 -4.831
Rb Li Ag Cl
1 4 3 12
direct
0.000 0.000 0.000
0.000 0.000 0.500
0.000 0.500 0.000
0.500 0.000 0.000
0.500 0.500 0.500
0.000 0.500 0.500
0.500 0.000 0.500
0.500 0.500 0.000
0.143 0.317 0.826
0.174 0.492 0.317
0.174 0.857 0.683
0.317 0.174 0.492
0.317 0.826 0.143
0.492 0.317 0.174
0.508 0.683 0.826
0.683 0.174 0.857
0.683 0.826 0.508
0.826 0.143 0.317
0.826 0.508 0.683
0.857 0.683 0.174
```

---

Record 4
Density functional theory data (PBE-GGA) for an optimized crystal structure of Rb2LiAgCl6.

Structure (POSCAR):
```
Rb2LiAgCl6
1.0
7.690 0.000 0.000
0.000 7.571 0.000
-7.053 0.000 9.830
Rb Li Ag Cl
4 2 2 12
direct
0.240 0.007 0.242
0.240 0.493 0.742
0.760 0.507 0.258
0.760 0.993 0.758
0.000 0.000 0.500
0.000 0.500 0.000
0.500 0.000 0.000
0.500 0.500 0.500
0.197 0.709 0.983
0.197 0.791 0.483
0.236 0.210 0.955
0.236 0.290 0.455
0.330 0.552 0.263
0.330 0.948 0.763
0.670 0.052 0.237
0.670 0.448 0.737
0.764 0.710 0.545
0.764 0.790 0.045
0.803 0.209 0.517
0.803 0.291 0.017
```

---

Record 5
Density functional theory data (PBE-GGA) for an optimized crystal structure of RbLiAgCl3.

Structure (POSCAR):
```
RbLiAgCl3
1.0
8.613 0.000 0.000
0.000 4.135 0.000
-2.782 0.000 9.156
Rb Li Ag Cl
2 2 2 6
direct
0.210 0.250 0.232
0.790 0.750 0.768
0.116 0.250 0.614
0.884 0.750 0.386
0.342 0.750 0.882
0.658 0.250 0.118
0.117 0.250 0.862
0.178 0.750 0.512
0.482 0.750 0.180
0.518 0.250 0.820
0.822 0.250 0.488
0.883 0.750 0.138
```

---

Record 6
Density functional theory data (PBE-GGA) for an optimized crystal structure of Li2ReAgCl8.

Structure (POSCAR):
```
Li2ReAgCl8
1.0
5.948 0.000 0.000
0.842 6.126 0.000
0.022 0.017 7.968
Li Re Ag Cl
2 1 1 8
direct
0.002 0.002 0.265
0.998 0.998 0.735
0.500 0.500 0.000
0.500 0.500 0.500
0.210 0.818 0.500
0.221 0.814 0.000
0.299 0.342 0.209
0.300 0.343 0.792
0.700 0.657 0.208
0.701 0.658 0.791
0.779 0.186 0.000
0.790 0.182 0.500
```

---

no.,formation energy (no corrections) (eV/atom)
1,-1.17
2,-1.36
3,-1.06
4,-1.24
5,-1.39
6,-0.93